1.
The following is a PBE-GGA calculation of a geometry-optimized IrPt4 structure, from Alexandria.

- energy above the lowest structure with this stoichiometry (eV/atom) = 0.514
- calculated formation energy (meV/atom) = 536

a = 3.6007 Å, b = 3.6007 Å, c = 13.2469 Å
α = 90.00°, β = 90.00°, γ = 90.00°
With the nearest neighbours (Å) after each atom.
Space group I4/mmm (No. 139)
Unique sites:
Ir  0.0000  0.0000  0.0000  8 Pt 2.84
Pt  0.0000  0.0000  0.4047  5 Pt 2.52-2.73
Pt  0.0000  0.5000  0.2500  8 Pt 2.55-2.73

=====

2.
The following is a PBE-GGA calculation of a geometry-optimized Be2ZnFeRe structure, from Alexandria.

- calculated formation energy (meV/atom) = 851

a = 3.9691 Å, b = 3.9691 Å, c = 4.3900 Å
α = 90.00°, β = 90.00°, γ = 90.00°
With the nearest neighbours (Å) after each atom.
Space group P4/mmm (No. 123)
Unique sites:
Be  0.0000  0.5000  0.0000  2 Fe 1.98
Zn  0.0000  0.0000  0.5000  4 Re 2.81, 8 Be 2.96
Fe  0.5000  0.5000  0.0000  4 Be 1.98, 2 Re 2.20
Re  0.5000  0.5000  0.5000  2 Fe 2.20

=====

Number 1: E_tot -30.3 eV/f.u.. Number 2: E_tot -25.4 eV/f.u..